Entry P
Material: Mo2Au
Method: DFT, GGA-PBE
State: optimized geometry

Cell and atoms, written as extended XYZ:
```
12
Lattice="-0.052 0.037 5.579 0.386 -4.153 0.031 8.391 0.781 0.073" Properties=species:S:1:pos:R:3 pbc="T T T"
Au 3.667 -2.784 2.195
Au 1.042 -3.007 4.962
Au 7.683 -0.327 0.721
Au 5.058 -0.550 3.488
Mo 6.520 -2.520 2.043
Mo 6.582 -2.493 4.833
Mo 3.898 -2.741 5.001
Mo 2.205 -0.815 3.640
Mo 4.827 -0.593 0.682
Mo 2.142 -0.841 0.850
Mo 0.811 -3.050 2.185
Mo 7.914 -0.284 3.499
```



Entry Q
Material: Mo2Au
Method: DFT, GGA-PBE
State: optimized geometry

Cell and atoms, written as extended XYZ:
```
6
Lattice="-3.171 3.171 2.600 3.171 -3.171 2.600 3.171 3.171 -2.600" Properties=species:S:1:pos:R:3 pbc="T T T"
Au 0.000 0.000 3.899
Au 0.000 0.000 1.300
Mo -0.827 2.344 2.600
Mo 2.344 0.827 2.600
Mo 0.827 2.344 0.000
Mo 3.998 0.827 0.000
```



Of them, the most stable is entry P and the least stable is entry Q.



Entry P
Material: Mo2Au
Method: DFT, GGA-PBE
State: optimized geometry

Cell and atoms, written as extended XYZ:
```
3
Lattice="4.623 0.000 0.000 -2.311 4.003 0.000 0.000 0.000 2.668" Properties=species:S:1:pos:R:3 pbc="T T T"
Mo 0.000 2.669 0.993
Mo 2.311 1.334 1.675
Au 0.000 0.000 0.000
```



Entry Q
Material: Mo2Au
Method: DFT, GGA-PBE
State: optimized geometry

Cell and atoms, written as extended XYZ:
```
6
Lattice="1.392 5.324 0.003 -1.392 5.324 0.003 0.000 1.818 6.615" Properties=species:S:1:pos:R:3 pbc="T T T"
Au 0.000 1.842 6.574
Au 0.000 4.179 2.215
Mo 0.000 11.122 4.095
Mo 0.000 8.299 4.347
Mo 0.000 4.666 6.238
Mo 0.000 7.030 1.903
```



Of them, the most stable is entry Q and the least stable is entry P.



Entry P
Material: Mo2Au
Method: DFT, GGA-PBE
State: optimized geometry

Cell and atoms, written as extended XYZ:
```
6
Lattice="2.270 -3.931 0.000 2.270 3.931 0.000 0.000 0.000 5.530" Properties=species:S:1:pos:R:3 pbc="T T T"
Au 2.270 1.310 1.383
Au 2.270 -1.310 4.148
Mo 0.000 0.000 2.765
Mo 2.270 1.310 4.148
Mo 2.270 -1.310 1.383
Mo 0.000 0.000 0.000
```



Entry Q
Material: Mo2Au
Method: DFT, GGA-PBE
State: optimized geometry

Cell and atoms, written as extended XYZ:
```
6
Lattice="2.077 -0.372 4.804 -1.002 3.698 3.585 -3.073 -1.094 4.110" Properties=species:S:1:pos:R:3 pbc="T T T"
Mo -1.786 -0.268 3.617
Mo -0.250 0.279 1.562
Mo -0.751 2.128 3.355
Mo 0.789 0.093 3.964
Au -0.999 1.116 6.249
Au -1.498 1.674 9.374
```



Entry R
Material: Mo2Au
Method: DFT, GGA-PBE
State: optimized geometry

Cell and atoms, written as extended XYZ:
```
3
Lattice="4.708 0.000 0.000 0.000 4.708 0.000 0.000 0.000 2.703" Properties=species:S:1:pos:R:3 pbc="T T T"
Mo 2.354 0.000 1.352
Mo 0.000 2.354 1.352
Au 0.000 0.000 0.000
```



Of them, the most stable is entry P and the least stable is entry R.



Entry P
Material: Mo2Au
Method: DFT, GGA-PBE
State: optimized geometry

Cell and atoms, written as extended XYZ:
```
3
Lattice="3.728 -1.834 2.781 3.924 2.916 1.044 -4.906 -0.895 0.349" Properties=species:S:1:pos:R:3 pbc="T T T"
Mo 5.108 0.723 2.553
Mo 2.544 0.360 1.272
Au 0.000 0.000 0.000
```



Entry Q
Material: Mo2Au
Method: DFT, GGA-PBE
State: optimized geometry

Cell and atoms, written as extended XYZ:
```
9
Lattice="-1.401 7.036 -3.586 -0.245 -6.791 -4.260 -2.590 -0.243 0.536" Properties=species:S:1:pos:R:3 pbc="T T T"
Mo -0.439 2.206 -1.124
Mo -1.453 -4.515 -2.488
Mo -1.876 -0.035 -2.502
Mo -1.130 0.168 -5.386
Mo -0.077 -2.129 -1.336
Mo -2.202 4.431 -2.052
Au -1.016 2.427 -3.811
Au -1.295 -0.121 0.268
Au -0.630 -2.182 -4.035
```



Of them, the most stable is entry P and the least stable is entry Q.



Entry P
Material: Mo2Au
Method: DFT, GGA-PBE
State: optimized geometry

Cell and atoms, written as extended XYZ:
```
6
Lattice="-6.054 1.962 -4.746 4.136 -1.632 6.578 1.172 4.584 0.401" Properties=species:S:1:pos:R:3 pbc="T T T"
Mo -1.805 1.713 -0.249
Mo 1.058 3.202 2.482
Mo 4.511 1.984 6.319
Mo -5.259 2.931 -4.087
Au 1.544 0.532 3.472
Au -2.291 4.383 -1.239
```



Entry Q
Material: Mo2Au
Method: DFT, GGA-PBE
State: optimized geometry

Cell and atoms, written as extended XYZ:
```
3
Lattice="6.993 0.551 0.000 5.668 4.133 0.000 -6.330 -2.342 1.909" Properties=species:S:1:pos:R:3 pbc="T T T"
Mo 8.445 3.125 0.000
Mo 4.215 1.559 0.000
Au 0.000 0.000 0.000
```



Entry R
Material: Mo2Au
Method: DFT, GGA-PBE
State: optimized geometry

Cell and atoms, written as extended XYZ:
```
6
Lattice="2.123 -5.732 0.000 2.123 5.732 0.000 0.000 0.000 4.078" Properties=species:S:1:pos:R:3 pbc="T T T"
Au 2.123 4.798 1.020
Au 2.123 -4.798 3.059
Mo 2.123 -2.818 1.020
Mo 2.123 2.818 3.059
Mo 2.123 1.140 1.020
Mo 2.123 -1.140 3.059
```



Of them, the most stable is entry R and the least stable is entry P.



Entry P
Material: MoAu5
Method: DFT, GGA-PBE
State: optimized geometry

Cell and atoms, written as extended XYZ:
```
6
Lattice="-3.285 0.929 -4.252 -1.996 0.151 5.071 0.991 4.654 0.251" Properties=species:S:1:pos:R:3 pbc="T T T"
Au -0.503 2.402 2.661
Au -1.147 2.791 -2.000
Au -2.855 0.670 -1.144
Au -2.145 2.867 0.536
Au -2.426 0.410 1.964
Mo 0.000 0.000 0.000
```



Entry Q
Material: MoAu5
Method: DFT, GGA-PBE
State: optimized geometry

Cell and atoms, written as extended XYZ:
```
6
Lattice="-5.011 2.146 1.983 -4.598 -0.207 3.531 1.693 3.891 5.464" Properties=species:S:1:pos:R:3 pbc="T T T"
Au -8.059 4.210 8.553
Au -5.309 3.950 7.423
Au -5.452 2.225 4.839
Au -7.837 5.804 10.916
Au -2.610 1.934 3.638
Mo -1.076 4.225 6.711
```



Entry R
Material: MoAu5
Method: DFT, GGA-PBE
State: optimized geometry

Cell and atoms, written as extended XYZ:
```
6
Lattice="-4.689 -2.050 -1.924 -4.776 1.746 2.009 -3.286 3.108 -3.072" Properties=species:S:1:pos:R:3 pbc="T T T"
Au -9.563 2.103 -2.240
Au -4.782 1.052 -1.120
Au -6.424 2.605 -2.656
Au -7.126 0.027 -2.082
Au -7.169 1.925 -0.116
Mo 0.000 0.000 0.000
```



Of them, the most stable is entry Q and the least stable is entry P.



Entry P
Material: Mo3Au5
Method: DFT, GGA-PBE
State: optimized geometry

Cell and atoms, written as extended XYZ:
```
16
Lattice="-9.006 0.620 -1.175 6.289 -3.664 3.973 0.352 5.754 4.245" Properties=species:S:1:pos:R:3 pbc="T T T"
Au -2.119 3.203 3.790
Au -1.957 1.100 1.512
Au -4.457 -0.222 1.887
Au 3.145 0.140 5.195
Au -0.249 -0.491 3.260
Au -6.954 0.560 0.431
Au 4.586 2.152 6.618
Au -0.411 1.613 5.537
Au -5.513 2.573 1.854
Au 2.089 2.935 5.163
Mo 0.048 4.676 4.684
Mo -4.391 4.944 3.415
Mo -2.957 0.584 4.221
Mo 0.589 2.129 2.828
Mo -2.416 -1.963 2.366
Mo 2.023 -2.232 3.634
```



Entry Q
Material: Mo3Au5
Method: DFT, GGA-PBE
State: optimized geometry

Cell and atoms, written as extended XYZ:
```
16
Lattice="-6.843 -0.605 4.262 0.598 -3.583 -7.220 1.767 -4.216 2.239" Properties=species:S:1:pos:R:3 pbc="T T T"
Mo -2.278 -5.578 -0.027
Mo -5.265 -5.283 2.886
Mo -0.973 -7.001 -3.737
Mo -3.506 -1.403 3.018
Mo -2.201 -2.826 -0.692
Mo 0.786 -3.121 -3.605
Au 0.570 -1.822 -0.988
Au -4.051 -3.637 5.028
Au -5.048 -6.582 0.269
Au -4.363 -1.598 0.434
Au -0.999 -4.698 -2.273
Au -1.026 -1.184 1.474
Au -4.465 -4.344 -1.764
Au -3.479 -3.706 1.554
Au -0.014 -4.060 1.045
Au -1.882 -2.590 -3.392
```



Of them, the most stable is entry P and the least stable is entry Q.



Entry P
Material: MoAu3N
Method: DFT, GGA-PBE
State: optimized geometry

Cell and atoms, written as extended XYZ:
```
5
Lattice="-4.196 0.012 -2.910 2.897 -0.472 -4.179 -0.278 -5.085 0.381" Properties=species:S:1:pos:R:3 pbc="T T T"
Au -2.098 0.006 -1.455
Au 1.448 -0.236 -2.089
Au -0.139 -2.542 0.191
Mo 0.000 0.000 0.000
N -0.789 -2.772 -3.354
```



Entry Q
Material: MoAu3N
Method: DFT, GGA-PBE
State: optimized geometry

Cell and atoms, written as extended XYZ:
```
5
Lattice="-1.414 -4.179 0.209 1.284 -0.223 4.220 -3.982 1.412 1.286" Properties=species:S:1:pos:R:3 pbc="T T T"
Au -0.707 -2.089 0.104
Au 0.642 -0.112 2.110
Au -1.991 0.706 0.643
N 0.000 0.000 0.000
Mo -2.056 -1.495 2.858
```



Of them, the most stable is entry Q and the least stable is entry P.



Entry P
Material: Mo3AuN
Method: DFT, GGA-PBE
State: optimized geometry

Cell and atoms, written as extended XYZ:
```
5
Lattice="4.143 0.000 0.000 0.000 4.143 0.000 0.000 0.000 4.143" Properties=species:S:1:pos:R:3 pbc="T T T"
Mo 0.000 2.071 0.000
Mo 2.071 0.000 0.000
Mo 0.000 0.000 2.071
Au 2.071 2.071 2.071
N 0.000 0.000 0.000
```



Entry Q
Material: Mo3AuN
Method: DFT, GGA-PBE
State: optimized geometry

Cell and atoms, written as extended XYZ:
```
5
Lattice="-3.318 0.696 3.452 -0.615 -4.785 0.374 3.468 -0.182 3.370" Properties=species:S:1:pos:R:3 pbc="T T T"
Mo 1.734 -0.091 1.685
Mo -0.307 -2.392 0.187
Mo -1.659 0.348 1.726
Au 0.000 0.000 0.000
N -0.233 -2.135 3.598
```



Of them, the most stable is entry P and the least stable is entry Q.



Entry P
Material: MoAuN2
Method: DFT, GGA-PBE
State: optimized geometry

Cell and atoms, written as extended XYZ:
```
4
Lattice="0.000 2.807 2.807 2.807 0.000 2.807 2.807 2.807 0.000" Properties=species:S:1:pos:R:3 pbc="T T T"
Au 2.807 2.807 2.807
N 4.211 4.211 4.211
N 1.404 1.404 1.404
Mo 0.000 0.000 0.000
```



Entry Q
Material: MoAuN2
Method: DFT, GGA-PBE
State: optimized geometry

Cell and atoms, written as extended XYZ:
```
8
Lattice="4.983 0.000 0.000 0.000 4.983 0.000 2.491 2.491 4.713" Properties=species:S:1:pos:R:3 pbc="T T T"
N 3.737 4.124 3.535
N 1.632 3.737 1.178
N 3.351 1.246 1.178
N 6.229 5.842 3.535
Mo 2.491 2.491 0.000
Mo 2.491 4.983 2.357
Au 4.983 2.491 2.357
Au 0.000 0.000 0.000
```



Of them, the most stable is entry Q and the least stable is entry P.



Entry P
Material: MoAuS2N
Method: DFT, GGA-PBE
State: optimized geometry

Cell and atoms, written as extended XYZ:
```
5
Lattice="-3.258 0.367 -3.552 -1.436 -4.537 0.849 -2.561 1.275 2.481" Properties=species:S:1:pos:R:3 pbc="T T T"
S -1.629 0.183 -1.776
S -0.718 -2.269 0.424
Mo 0.000 0.000 0.000
Au -3.628 -1.448 -0.111
N -1.281 0.637 1.241
```



Entry Q
Material: MoAuS2N
Method: DFT, GGA-PBE
State: optimized geometry

Cell and atoms, written as extended XYZ:
```
5
Lattice="5.010 0.000 0.000 0.000 5.010 0.000 0.000 0.000 3.752" Properties=species:S:1:pos:R:3 pbc="T T T"
S 2.505 0.000 0.000
S 0.000 2.505 0.000
N 0.000 0.000 1.876
Mo 2.505 2.505 1.876
Au 0.000 0.000 0.000
```



Of them, the most stable is entry P and the least stable is entry Q.



Entry P
Material: MoAuSeN2
Method: DFT, GGA-PBE
State: optimized geometry

Cell and atoms, written as extended XYZ:
```
5
Lattice="-3.630 1.152 -0.775 -1.388 -2.935 2.137 0.099 4.618 6.406" Properties=species:S:1:pos:R:3 pbc="T T T"
N -1.815 0.576 -0.387
N -0.694 -1.467 1.069
Au 0.000 0.000 0.000
Se 0.049 2.309 3.203
Mo -2.459 1.418 3.884
```



Entry Q
Material: MoAuSeN2
Method: DFT, GGA-PBE
State: optimized geometry

Cell and atoms, written as extended XYZ:
```
5
Lattice="3.869 0.000 0.000 0.000 3.869 0.000 0.000 0.000 5.554" Properties=species:S:1:pos:R:3 pbc="T T T"
Mo 0.000 0.000 0.000
Se 0.000 0.000 2.777
N 0.000 1.935 0.000
N 1.935 0.000 0.000
Au 1.935 1.935 2.777
```



Of them, the most stable is entry Q and the least stable is entry P.